Entry from Alexandria via LeMat-Bulk: a relaxed Mn2CoIr crystal (PBE-GGA).

For the calculated total energy, the calculation gives -7.98 eV per atom. For the density of states at the Fermi level, the calculation gives 10.304 states/eV/cell.

Unit cell a=2.5819 b=4.4269 c=9.7264 alpha=90.00 beta=90.00 gamma=90.00
Closest atoms and distances in Å follow each position.
Space group Immm (No. 71)
One atom of each set of equivalent atoms:
Mn (0.0000, 0.0000, 0.2441) (multiplicity 4)  1 Co 2.37, 1 Ir 2.49, 6 Mn 2.56-2.58
Co (0.0000, 0.0000, 0.0000) (multiplicity 2)  2 Mn 2.37, 4 Ir 2.56, 2 Co 2.58
Ir (0.0000, 0.0000, 0.5000) (multiplicity 2)  2 Mn 2.49, 4 Co 2.56, 2 Ir 2.58

Entry from Alexandria via LeMat-Bulk: a relaxed LiPmY2S5 crystal (PBE-GGA).

The calculation puts the uncorrected formation energy at -1842 meV per atom.

Unit cell a=3.9347 b=16.3617 c=11.9324 alpha=90.00 beta=90.00 gamma=90.00
Closest atoms and distances in Å follow each position.
Space group Cmc2_1 (No. 36)
One atom of each set of equivalent atoms:
Li (0.0000, 0.0106, 0.0000) (multiplicity 4)  4 S 2.32-2.41
Pm (0.0000, 0.3043, 0.5138) (multiplicity 4)  6 S 2.68-2.81
Y (0.0000, 0.3793, 0.8060) (multiplicity 4)  6 S 2.79-3.12
Y (0.0000, 0.3908, 0.1986) (multiplicity 4)  8 S 2.78-2.99
S (0.0000, 0.0006, 0.8030) (multiplicity 4)  1 Li 2.36
S (0.0000, 0.1357, 0.5211) (multiplicity 4)  1 Li 2.41
S (0.0000, 0.1916, 0.8493) (multiplicity 4)  2 Pm 2.78, 2 Y 2.99
S (0.0000, 0.2100, 0.1813) (multiplicity 4)  2 Pm 2.81, 3 Y 2.87-2.97
S (0.0000, 0.4575, 0.5928) (multiplicity 4)  2 Li 2.32

Entry from Alexandria via LeMat-Bulk: a relaxed Ac8Ni3SeBr4 crystal (PBE-GGA).

The calculation puts the uncorrected formation energy at -985 meV per atom. For the density of states at the Fermi level, the calculation gives 44.485 states/eV/cell.

Unit cell a=8.7714 b=8.7714 c=24.1332 alpha=90.00 beta=90.00 gamma=120.00
Closest atoms and distances in Å follow each position.
Space group R-3m (No. 166, hexagonal axes)
One atom of each set of equivalent atoms:
Ac (0.0000, 0.0000, 0.2306) (multiplicity 6)  3 Ni 2.97
Ac (0.0158, 0.5079, 0.7651) (multiplicity 18)  2 Ni 2.97, 1 Se 3.12
Ni (0.0000, 0.5000, 0.5000) (multiplicity 9)  6 Ac 2.97
Se (0.0000, 0.0000, 0.5000) (multiplicity 3)  6 Ac 3.12
Br (0.0000, 0.0000, 0.0000) (multiplicity 3)  6 Ac 3.39
Br (0.0000, 0.5000, 0.0000) (multiplicity 9)  6 Ac 3.52-3.54

Entry from Alexandria via LeMat-Bulk: a relaxed Nd4Sb8Pd3 crystal (PBE-GGA).

The calculation puts the uncorrected formation energy at -831 meV per atom. For the density of states at the Fermi level, the calculation gives 9.891 states/eV/cell.

Unit cell a=4.4948 b=4.4948 c=19.5378 alpha=90.00 beta=90.00 gamma=90.00
Closest atoms and distances in Å follow each position.
Space group P-4m2 (No. 115)
One atom of each set of equivalent atoms:
Nd (0.0000, 0.5000, 0.1176) (multiplicity 2)  2 Pd 3.21, 8 Sb 3.31-3.38
Nd (0.0000, 0.5000, 0.6258) (multiplicity 2)  8 Sb 3.31-3.35, 4 Pd 3.33
Sb (0.0000, 0.0000, 0.2468) (multiplicity 2)  4 Sb 3.18, 4 Nd 3.35-3.38
Sb (0.0000, 0.5000, 0.4221) (multiplicity 2)  4 Pd 2.71
Sb (0.0000, 0.5000, 0.9290) (multiplicity 2)  2 Pd 2.64
Sb (0.5000, 0.5000, 0.2469) (multiplicity 2)  4 Sb 3.18, 4 Nd 3.35-3.38
Pd (0.0000, 0.0000, 0.0000) (multiplicity 1)  4 Sb 2.64
Pd (0.0000, 0.0000, 0.5000) (multiplicity 1)  4 Sb 2.71
Pd (0.5000, 0.5000, 0.5000) (multiplicity 1)  4 Sb 2.71

Entry from Alexandria via LeMat-Bulk: a relaxed Mg2GaSnPd crystal (PBE-GGA).

For the calculated total energy, the calculation gives -3.24 eV per atom. For the density of states at the Fermi level, the calculation gives 2.444 states/eV/cell.

Unit cell a=5.0065 b=5.0065 c=4.7718 alpha=90.00 beta=90.00 gamma=90.00
Closest atoms and distances in Å follow each position.
Space group P4/mmm (No. 123)
One atom of each set of equivalent atoms:
Mg (0.0000, 0.5000, 0.0000) (multiplicity 2)  2 Pd 2.50
Ga (0.0000, 0.0000, 0.5000) (multiplicity 1)  2 Pd 2.39
Sn (0.5000, 0.5000, 0.5000) (multiplicity 1)  8 Mg 3.46, 4 Ga 3.54
Pd (0.0000, 0.0000, 0.0000) (multiplicity 1)  2 Ga 2.39, 4 Mg 2.50

Entry from Alexandria via LeMat-Bulk: a relaxed AcCd2PRh2 crystal (PBE-GGA).

For the calculated total energy, the calculation gives -4.72 eV per atom. For the density of states at the Fermi level, the calculation gives 7.150 states/eV/cell.

Unit cell a=4.5711 b=4.5711 c=14.1123 alpha=90.00 beta=90.00 gamma=90.00
Closest atoms and distances in Å follow each position.
Space group I4/mmm (No. 139)
One atom of each set of equivalent atoms:
Ac (0.0000, 0.0000, 0.0000) (multiplicity 2)  4 P 3.23
Cd (0.0000, 0.5000, 0.2500) (multiplicity 4)  4 Rh 2.68
P (0.0000, 0.0000, 0.5000) (multiplicity 2)  2 Rh 2.12
Rh (0.0000, 0.0000, 0.3498) (multiplicity 4)  1 P 2.12

Entry from Alexandria via LeMat-Bulk: a relaxed TlCdGa2Cu crystal (PBE-GGA).

For the calculated total energy, the calculation gives -2.57 eV per atom. For the density of states at the Fermi level, the calculation gives 1.913 states/eV/cell.

Unit cell a=4.7313 b=4.7313 c=5.1921 alpha=90.00 beta=90.00 gamma=90.00
Closest atoms and distances in Å follow each position.
Space group P4/mmm (No. 123)
One atom of each set of equivalent atoms:
Tl (0.0000, 0.0000, 0.0000) (multiplicity 1)  4 Cd 3.35, 8 Ga 3.51
Cd (0.5000, 0.5000, 0.0000) (multiplicity 1)  2 Cu 2.60
Ga (0.0000, 0.5000, 0.5000) (multiplicity 2)  2 Cu 2.37
Cu (0.5000, 0.5000, 0.5000) (multiplicity 1)  4 Ga 2.37, 2 Cd 2.60

Entry from Alexandria via LeMat-Bulk: a relaxed TlB2Os crystal (PBE-GGA).

For the calculated total energy, the calculation gives -5.04 eV per atom. For the density of states at the Fermi level, the calculation gives 19.880 states/eV/cell.

Unit cell a=5.8694 b=5.8694 c=5.8694 alpha=90.00 beta=90.00 gamma=90.00
Closest atoms and distances in Å follow each position.
Space group Fm-3m (No. 225)
One atom of each set of equivalent atoms:
Tl (0.0000, 0.0000, 0.0000) (multiplicity 4)  8 B 2.54
B (0.2500, 0.2500, 0.2500) (multiplicity 8)  4 Tl 2.54, 4 Os 2.54
Os (0.0000, 0.0000, 0.5000) (multiplicity 4)  8 B 2.54

Entry from Alexandria via LeMat-Bulk: a relaxed Ba6P2ICl3 crystal (PBE-GGA).

The calculation puts the uncorrected formation energy at -1622 meV per atom. For the density of states at the Fermi level, the calculation gives 7.423 states/eV/cell.

Unit cell a=20.2664 b=4.6733 c=9.4611 alpha=90.00 beta=101.63 gamma=90.00
Closest atoms and distances in Å follow each position.
Space group C2/m (No. 12)
One atom of each set of equivalent atoms:
Ba (0.0101, 0.0000, 0.2741) (multiplicity 4)  1 P 3.11, 3 Cl 3.20-3.45, 2 I 3.47
Ba (0.1717, 0.5000, 0.5680) (multiplicity 4)  3 P 3.22, 3 Cl 3.41-3.48
Ba (0.1749, 0.5000, 0.1141) (multiplicity 4)  2 P 3.14, 3 Cl 3.22-3.49, 1 I 3.49
P (0.1665, 0.0000, 0.3323) (multiplicity 4)  6 Ba 3.11-3.22
I (0.0000, 0.5000, 0.0000) (multiplicity 2)  6 Ba 3.47-3.49
Cl (0.0000, 0.5000, 0.5000) (multiplicity 2)  6 Ba 3.20-3.41
Cl (0.1631, 0.0000, 0.8366) (multiplicity 4)  6 Ba 3.22-3.49

Entry from Alexandria via LeMat-Bulk: a relaxed Sm3RuPb2 crystal (PBE-GGA).

For the calculated total energy, the calculation gives -5.59 eV per atom. For the density of states at the Fermi level, the calculation gives 17.290 states/eV/cell.

Unit cell a=12.9039 b=4.4001 c=12.0375 alpha=90.00 beta=90.00 gamma=90.00
Closest atoms and distances in Å follow each position.
Space group Pnma (No. 62)
One atom of each set of equivalent atoms:
Sm (0.0546, 0.2500, 0.1309) (multiplicity 4)  1 Ru 3.00, 4 Pb 3.15-3.24
Sm (0.1188, 0.7500, 0.5403) (multiplicity 4)  3 Ru 3.03-3.38, 5 Pb 3.21-3.39
Sm (0.2474, 0.2500, 0.7854) (multiplicity 4)  2 Ru 2.89
Ru (0.1289, 0.2500, 0.3673) (multiplicity 4)  3 Pb 2.83-2.92, 5 Sm 2.89-3.03
Pb (0.0078, 0.2500, 0.6944) (multiplicity 4)  2 Ru 2.92, 5 Sm 3.15-3.26
Pb (0.1860, 0.7500, 0.9930) (multiplicity 4)  1 Ru 2.83

Entry from Alexandria via LeMat-Bulk: a relaxed CaTaS2Cl crystal (PBE-GGA).

The calculation puts the uncorrected formation energy at -1019 meV per atom. For the density of states at the Fermi level, the calculation gives 1.910 states/eV/cell.

Unit cell a=4.8194 b=4.8194 c=4.8666 alpha=90.00 beta=90.00 gamma=90.00
Closest atoms and distances in Å follow each position.
Space group P4/mmm (No. 123)
One atom of each set of equivalent atoms:
Ca (0.0000, 0.0000, 0.0000) (multiplicity 1)  4 Cl 3.41, 8 S 3.42
Ta (0.5000, 0.5000, 0.5000) (multiplicity 1)  4 S 2.41, 2 Cl 2.43
S (0.0000, 0.5000, 0.5000) (multiplicity 2)  2 Ta 2.41
Cl (0.5000, 0.5000, 0.0000) (multiplicity 1)  2 Ta 2.43

Entry from Alexandria via LeMat-Bulk: a relaxed Cs3Cr2Cl7 crystal (PBE-GGA).

The calculation puts the uncorrected formation energy at -1504 meV per atom. For the density of states at the Fermi level, the calculation gives 3.705 states/eV/cell.

Unit cell a=5.1218 b=5.1218 c=27.0551 alpha=90.00 beta=90.00 gamma=90.00
Closest atoms and distances in Å follow each position.
Space group I4/mmm (No. 139)
One atom of each set of equivalent atoms:
Cs (0.0000, 0.0000, 0.0000) (multiplicity 2)  12 Cl 3.59-3.62
Cs (0.0000, 0.0000, 0.1824) (multiplicity 4)  9 Cl 3.52-3.62
Cr (0.0000, 0.0000, 0.4067) (multiplicity 4)  6 Cl 2.47-2.56
Cl (0.0000, 0.0000, 0.3154) (multiplicity 4)  1 Cr 2.47
Cl (0.0000, 0.0000, 0.5000) (multiplicity 2)  2 Cr 2.53
Cl (0.0000, 0.5000, 0.0929) (multiplicity 8)  2 Cr 2.56

Entry from Alexandria via LeMat-Bulk: a relaxed Li4CaSi crystal (PBE-GGA).

The calculation puts the uncorrected formation energy at -49 meV per atom. For the density of states at the Fermi level, the calculation gives 4.621 states/eV/cell.

Unit cell a=7.5827 b=7.5827 c=7.5827 alpha=90.00 beta=90.00 gamma=90.00
Closest atoms and distances in Å follow each position.
Space group F-43m (No. 216)
One atom of each set of equivalent atoms:
Li (0.1234, 0.1234, 0.1234) (multiplicity 16)  6 Li 2.65-2.71
Ca (0.0000, 0.0000, 0.5000) (multiplicity 4)  12 Li 3.15, 4 Si 3.28
Si (0.2500, 0.2500, 0.7500) (multiplicity 4)  12 Li 3.14, 4 Ca 3.28

Entry from Alexandria via LeMat-Bulk: a relaxed YSi crystal (PBE-GGA).

The calculation puts the uncorrected formation energy at -373 meV per atom. For the density of states at the Fermi level, the calculation gives 3.326 states/eV/cell.

Unit cell a=3.7326 b=3.7326 c=8.1204 alpha=90.00 beta=90.00 gamma=120.00
Closest atoms and distances in Å follow each position.
Space group P-3m1 (No. 164)
One atom of each set of equivalent atoms:
Y (0.3333, 0.6667, 0.1858) (multiplicity 2)  4 Si 2.97-3.06
Si (0.3333, 0.6667, 0.5628) (multiplicity 2)  3 Si 2.38

Entry from Alexandria via LeMat-Bulk: a relaxed K2Pb6Au3 crystal (PBE-GGA).

For the calculated total energy, the calculation gives -3.25 eV per atom. For the density of states at the Fermi level, the calculation gives 4.067 states/eV/cell.

Unit cell a=8.9096 b=8.9096 c=5.0368 alpha=90.00 beta=90.00 gamma=120.00
Closest atoms and distances in Å follow each position.
Space group P-62m (No. 189)
One atom of each set of equivalent atoms:
K (0.3333, 0.6667, 0.0000) (multiplicity 2)  9 Pb 3.64-3.99, 6 Au 3.77
Pb (0.0000, 0.2103, 0.0000) (multiplicity 3)  2 Au 2.91, 2 Pb 3.24
Pb (0.0000, 0.6920, 0.5000) (multiplicity 3)  3 Au 2.83-3.08
Au (0.0000, 0.3739, 0.5000) (multiplicity 3)  5 Pb 2.83-3.08

Entry from Alexandria via LeMat-Bulk: a relaxed Rb3Pm2SmSe6 crystal (PBE-GGA).

The calculation puts the uncorrected formation energy at -1739 meV per atom. For the density of states at the Fermi level, the calculation gives 0.000 states/eV/cell.

Unit cell a=7.5186 b=13.0234 c=8.4018 alpha=90.00 beta=107.35 gamma=90.00
Closest atoms and distances in Å follow each position.
Space group C2/m (No. 12)
One atom of each set of equivalent atoms:
Rb (0.0000, 0.0000, 0.0000) (multiplicity 2)  6 Se 3.47-3.48
Rb (0.0000, 0.3330, 0.0000) (multiplicity 4)  6 Se 3.47-3.48
Pm (0.0000, 0.1666, 0.5000) (multiplicity 4)  6 Se 2.98
Sm (0.0000, 0.5000, 0.5000) (multiplicity 2)  6 Se 2.97
Se (0.2326, 0.3339, 0.6995) (multiplicity 8)  1 Sm 2.97, 2 Pm 2.98
Se (0.2344, 0.0000, 0.6996) (multiplicity 4)  1 Sm 2.97, 2 Pm 2.98

Entry from Alexandria via LeMat-Bulk: a relaxed Mn2HgHPd6 crystal (PBE-GGA).

For the calculated total energy, the calculation gives -5.23 eV per atom. For the density of states at the Fermi level, the calculation gives 10.362 states/eV/cell.

Unit cell a=7.8569 b=5.8141 c=6.9534 alpha=90.00 beta=114.84 gamma=90.00
Closest atoms and distances in Å follow each position.
Space group Cm (No. 8)
One atom of each set of equivalent atoms:
Mn (0.0000, 0.0000, 0.0000) (multiplicity 2)  1 Mn 2.00
Mn (0.2335, 0.5000, 0.7840) (multiplicity 2)  1 Mn 2.00
Hg (0.3635, 0.0000, 0.8885) (multiplicity 2)  4 Pd 2.72
H (0.3374, 0.5000, 0.3857) (multiplicity 2)  5 Pd 1.85-2.04
Pd (0.1002, 0.5000, 0.3819) (multiplicity 2)  1 H 1.85
Pd (0.1330, 0.0000, 0.4005) (multiplicity 2)  1 H 2.28, 1 Mn 2.53
Pd (0.2788, 0.2665, 0.1578) (multiplicity 4)  1 H 1.99
Pd (0.4558, 0.2673, 0.6250) (multiplicity 4)  1 H 2.04

Entry from Alexandria via LeMat-Bulk: a relaxed HoTlCd4 crystal (PBE-GGA).

For the calculated total energy, the calculation gives -1.93 eV per atom. For the density of states at the Fermi level, the calculation gives 15.761 states/eV/cell.

Unit cell a=6.4872 b=17.9137 c=5.0558 alpha=90.00 beta=90.00 gamma=90.00
Closest atoms and distances in Å follow each position.
Space group Cmcm (No. 63)
One atom of each set of equivalent atoms:
Ho (0.0000, 0.1231, 0.2500) (multiplicity 4)  2 Tl 3.25, 12 Cd 3.29-3.42
Tl (0.0000, 0.3825, 0.7500) (multiplicity 4)  2 Ho 3.25, 12 Cd 3.33-3.49
Cd (0.2368, 0.0428, 0.7500) (multiplicity 8)  4 Cd 2.96-3.07, 2 Ho 3.29
Cd (0.2467, 0.2096, 0.7500) (multiplicity 8)  4 Cd 2.91-3.20

Entry from Alexandria via LeMat-Bulk: a relaxed Li2Pa5S12 crystal (PBE-GGA).

The calculation puts the uncorrected formation energy at -1487 meV per atom. For the density of states at the Fermi level, the calculation gives 39.146 states/eV/cell.

Unit cell a=15.1151 b=6.8869 c=8.7209 alpha=90.00 beta=106.94 gamma=90.00
Closest atoms and distances in Å follow each position.
Space group C2/m (No. 12)
One atom of each set of equivalent atoms:
Li (0.0000, 0.2415, 0.0000) (multiplicity 4)  6 S 2.51-2.66
Pa (0.0000, 0.0000, 0.5000) (multiplicity 2)  2 S 2.45
Pa (0.1797, 0.5000, 0.8449) (multiplicity 4)  7 S 2.64-2.88
Pa (0.1887, 0.5000, 0.3409) (multiplicity 4)  7 S 2.70-2.84
S (0.0024, 0.5000, 0.2276) (multiplicity 4)  2 Pa 2.64-2.70, 2 Li 2.66
S (0.0094, 0.0000, 0.7847) (multiplicity 4)  1 Pa 2.45, 2 Li 2.54
S (0.1552, 0.2504, 0.5710) (multiplicity 8)  4 Pa 2.80-2.88
S (0.1731, 0.2550, 0.0927) (multiplicity 8)  1 Li 2.51, 3 Pa 2.70-2.77

Entry from Alexandria via LeMat-Bulk: a relaxed Li2DyZn crystal (PBE-GGA).

For the calculated total energy, the calculation gives -2.40 eV per atom. For the density of states at the Fermi level, the calculation gives 2.769 states/eV/cell.

Unit cell a=3.4162 b=3.4162 c=6.8798 alpha=90.00 beta=90.00 gamma=90.00
Closest atoms and distances in Å follow each position.
Space group P4/mmm (No. 123)
One atom of each set of equivalent atoms:
Li (0.0000, 0.0000, 0.1896) (multiplicity 2)  1 Li 2.61, 4 Zn 2.75
Dy (0.5000, 0.5000, 0.5000) (multiplicity 1)  8 Li 3.22, 4 Dy 3.42, 2 Zn 3.44
Zn (0.5000, 0.5000, 0.0000) (multiplicity 1)  8 Li 2.75